Entry from Alexandria: a relaxed Li3AcV4O12 crystal (PBE with a Hubbard U).

Cell lengths 11.2472, 11.2472, 6.9442 Å; angles 90.00, 90.00, 120.00 degrees
Space group R32 (No. 155, hexagonal axes)
Inequivalent atoms, fractional coordinates:
Li 0.0000 0.5667 0.0000 (multiplicity 9)
Ac 0.0000 0.0000 0.0000 (multiplicity 3)
V 0.0000 0.0000 0.5000 (multiplicity 3)
V 0.0000 0.4350 0.5000 (multiplicity 9)
O 0.0000 0.5827 0.5000 (multiplicity 9)
O 0.0000 0.8473 0.5000 (multiplicity 9)
O 0.0607 0.2406 0.1526 (multiplicity 18)

Its final energy is -6.776 eV/atom. The total magnetization comes out at 6.00 μB/cell.